Material: Tm2CdAg6
Method: DFT, GGA-PBE
State: relaxed

Lattice parameters (Å, degrees): 5.176 8.708 8.708 72.93 82.19 82.19
Atoms (fractional coordinates):
Cd 0.750 0.863 0.137
Ag 0.302 0.777 0.007
Ag 0.364 0.897 0.659
Ag 0.536 0.320 0.568
Ag 0.198 0.993 0.223
Tm 0.914 0.795 0.533
Ag 0.864 0.659 0.897
Ag 0.136 0.341 0.103
Ag 0.464 0.680 0.432
Ag 0.698 0.223 0.993
Ag 0.036 0.568 0.320
Tm 0.414 0.533 0.795
Tm 0.086 0.205 0.467
Ag 0.964 0.432 0.680
Tm 0.586 0.467 0.205
Ag 0.802 0.007 0.777
Ag 0.636 0.103 0.341
Cd 0.250 0.137 0.863

For the total energy, the calculation gives -56.7 eV per cell. As for the total magnetization: 0.000 Bohr magnetons per cell. The calculation puts the excess energy over the best structure of this formula in the dataset at 0.000 eV per atom. The calculation puts the formation energy at -0.156 eV/atom.

Material: Tm2Cd4Ag
Method: DFT, GGA-PBE
State: relaxed

Lattice parameters (Å, degrees): 9.993 5.774 6.802 115.11 90.00 90.00
Atoms (fractional coordinates):
Ag 0.000 0.000 0.000
Cd 0.250 0.250 0.000
Tm 0.000 0.639 0.279
Tm 0.500 0.861 0.721
Tm 0.000 0.361 0.721
Cd 0.750 0.250 0.000
Cd 0.750 0.500 0.500
Cd 0.250 0.000 0.500
Ag 0.500 0.500 0.000
Cd 0.250 0.500 0.500
Cd 0.750 0.000 0.500
Cd 0.750 0.750 0.000
Tm 0.500 0.139 0.279
Cd 0.250 0.750 0.000

For the total energy, the calculation gives -31.4 eV per cell. As for the total magnetization: 0.000 Bohr magnetons per cell. The calculation puts the formation energy at -0.035 eV/atom.

> Which formula does entry 2 have?

Tm2Cd4Ag